[1]
SmDyCuPt: relaxed, PBE-GGA.

Summary:
The crystal system is orthorhombic. As for the energy above the most stable polymorph in this dataset: 0 meV/atom. The calculation puts the formation energy at -0.765 eV/atom. Its density of states at the Fermi level is 0.70 states/eV per atom. The space group is Amm2.

a b c (Å): 3.824 4.453 5.662
angles (deg): 90.00 109.73 90.00
Element x y z (fractional)
Pt  0.421  0.000  0.842
Cu  0.576  0.500  0.153
Dy  0.863  0.500  0.725
Sm  0.140  0.000  0.280

[2]
DyCuSnPt: relaxed, PBE-GGA.

Summary:
The crystal system is cubic. The calculation puts the formation energy at -0.684 eV/atom. Its density of states at the Fermi level is 0.68 states/eV per atom. The space group is F-43m.

a b c (Å): 4.761 4.761 4.761
angles (deg): 60.00 60.00 60.00
Element x y z (fractional)
Dy  0.250  0.250  0.250
Pt  0.000  0.000  0.000
Sn  0.750  0.750  0.750
Cu  0.500  0.500  0.500

[3]
TbDyCuPt: relaxed, PBE-GGA.

Summary:
The crystal system is orthorhombic. As for the energy above the most stable polymorph in this dataset: 0 meV/atom. The calculation puts the formation energy at -0.803 eV/atom. Its density of states at the Fermi level is 0.62 states/eV per atom. The space group is Amm2.

a b c (Å): 3.786 4.472 5.560
angles (deg): 90.00 109.91 90.00
Element x y z (fractional)
Cu  0.421  0.000  0.843
Dy  0.862  0.500  0.723
Pt  0.578  0.500  0.156
Tb  0.139  0.000  0.278

[4]
TbDyCuPt: relaxed, PBE-GGA.

Summary:
The crystal system is cubic. As for the energy above the most stable polymorph in this dataset: 40 meV/atom. The calculation puts the formation energy at -0.763 eV/atom. Its density of states at the Fermi level is 0.59 states/eV per atom. The space group is F-43m.

a b c (Å): 4.935 4.935 4.935
angles (deg): 60.00 60.00 60.00
Element x y z (fractional)
Cu  0.250  0.250  0.250
Tb  0.000  0.000  0.000
Pt  0.750  0.750  0.750
Dy  0.500  0.500  0.500

[5]
DyThCuPt: relaxed, PBE-GGA.

Summary:
The crystal system is cubic. As for the energy above the most stable polymorph in this dataset: 86 meV/atom. The calculation puts the formation energy at -0.640 eV/atom. Its density of states at the Fermi level is 1.00 states/eV per atom. The space group is F-43m.

a b c (Å): 5.028 5.028 5.028
angles (deg): 60.00 60.00 60.00
Element x y z (fractional)
Th  0.750  0.750  0.750
Dy  0.250  0.250  0.250
Cu  0.500  0.500  0.500
Pt  0.000  0.000  0.000

[6]
DyThCuPt: relaxed, PBE-GGA.

Summary:
The crystal system is orthorhombic. As for the energy above the most stable polymorph in this dataset: 0 meV/atom. The calculation puts the formation energy at -0.726 eV/atom. Its density of states at the Fermi level is 0.88 states/eV per atom. The space group is Amm2.

a b c (Å): 3.824 4.543 5.642
angles (deg): 90.00 109.81 90.00
Element x y z (fractional)
Th  0.861  0.500  0.722
Dy  0.140  0.000  0.280
Cu  0.420  0.000  0.840
Pt  0.579  0.500  0.158

[7]
DyTmCuPt: relaxed, PBE-GGA.

Summary:
The crystal system is cubic. As for the energy above the most stable polymorph in this dataset: 32 meV/atom. The calculation puts the formation energy at -0.798 eV/atom. Its density of states at the Fermi level is 0.64 states/eV per atom. The space group is F-43m.

a b c (Å): 4.889 4.889 4.889
angles (deg): 60.00 60.00 60.00
Element x y z (fractional)
Pt  0.750  0.750  0.750
Tm  0.500  0.500  0.500
Dy  0.000  0.000  0.000
Cu  0.250  0.250  0.250

[8]
DyTmCuPt: relaxed, PBE-GGA.

Summary:
The crystal system is orthorhombic. As for the energy above the most stable polymorph in this dataset: 0 meV/atom. The calculation puts the formation energy at -0.830 eV/atom. Its density of states at the Fermi level is 0.54 states/eV per atom. The space group is Amm2.

a b c (Å): 3.739 4.456 5.501
angles (deg): 90.00 109.87 90.00
Element x y z (fractional)
Pt  0.578  0.500  0.157
Cu  0.421  0.000  0.841
Tm  0.862  0.500  0.724
Dy  0.139  0.000  0.279